Entry 1:
Density functional theory data (PBE) for a geometry-optimized PmScBeAg structure. Values from VASP.

Summary:
Calculated formation energy = -0.008 eV per atom
Total moment = 0.00 μB/cell
SG = F-43m, No. 216

The structure in Quantum ESPRESSO input format:
```
&SYSTEM
  ibrav = 0, nat = 4, ntyp = 4
/
ATOMIC_SPECIES
Pm 145.00 Pm.upf
Sc 44.96 Sc.upf
Be 9.01 Be.upf
Ag 107.87 Ag.upf
CELL_PARAMETERS angstrom
0.0000 3.4982 3.4982
3.4982 0.0000 3.4982
3.4982 3.4982 0.0000
ATOMIC_POSITIONS crystal
Pm 0.0000 0.0000 0.0000
Sc 0.5000 0.5000 0.5000
Be 0.7500 0.7500 0.7500
Ag 0.2500 0.2500 0.2500
```


Entry 2:
Density functional theory data (PBE) for a geometry-optimized TbPmBeAg structure. Values from VASP.

Summary:
Calculated formation energy = -0.024 eV per atom
Total moment = 0.00 μB/cell
SG = F-43m, No. 216

The structure in Quantum ESPRESSO input format:
```
&SYSTEM
  ibrav = 0, nat = 4, ntyp = 4
/
ATOMIC_SPECIES
Tb 158.93 Tb.upf
Pm 145.00 Pm.upf
Be 9.01 Be.upf
Ag 107.87 Ag.upf
CELL_PARAMETERS angstrom
0.0000 3.6027 3.6027
3.6027 0.0000 3.6027
3.6027 3.6027 0.0000
ATOMIC_POSITIONS crystal
Tb 0.0000 0.0000 0.0000
Pm 0.5000 0.5000 0.5000
Be 0.2500 0.2500 0.2500
Ag 0.7500 0.7500 0.7500
```


Entry 3:
Density functional theory data (PBE) for a geometry-optimized PmTmBeAg structure. Values from VASP.

Summary:
Calculated formation energy = -0.039 eV per atom
Total moment = 0.00 μB/cell
SG = F-43m, No. 216

The structure in Quantum ESPRESSO input format:
```
&SYSTEM
  ibrav = 0, nat = 4, ntyp = 4
/
ATOMIC_SPECIES
Pm 145.00 Pm.upf
Tm 168.93 Tm.upf
Be 9.01 Be.upf
Ag 107.87 Ag.upf
CELL_PARAMETERS angstrom
0.0000 3.5706 3.5706
3.5706 0.0000 3.5706
3.5706 3.5706 0.0000
ATOMIC_POSITIONS crystal
Pm 0.0000 0.0000 0.0000
Tm 0.5000 0.5000 0.5000
Be 0.2500 0.2500 0.2500
Ag 0.7500 0.7500 0.7500
```


Entry 4:
Density functional theory data (PBE) for a geometry-optimized PmYBeAg structure. Values from VASP.

Summary:
Calculated formation energy = -0.036 eV per atom
Total moment = 0.00 μB/cell
SG = F-43m, No. 216

The structure in Quantum ESPRESSO input format:
```
&SYSTEM
  ibrav = 0, nat = 4, ntyp = 4
/
ATOMIC_SPECIES
Pm 145.00 Pm.upf
Y 88.91 Y.upf
Be 9.01 Be.upf
Ag 107.87 Ag.upf
CELL_PARAMETERS angstrom
0.0000 3.6000 3.6000
3.6000 0.0000 3.6000
3.6000 3.6000 0.0000
ATOMIC_POSITIONS crystal
Pm 0.0000 0.0000 0.0000
Y 0.5000 0.5000 0.5000
Be 0.2500 0.2500 0.2500
Ag 0.7500 0.7500 0.7500
```


Entry 5:
Density functional theory data (PBE) for a geometry-optimized Pr2BeAg structure. Values from VASP.

Summary:
Calculated formation energy = -0.022 eV per atom
Total moment = 0.00 μB/cell
Excess energy over the best structure of this formula in the dataset = 0 meV/atom
SG = P4/mmm, No. 123

The structure in Quantum ESPRESSO input format:
```
&SYSTEM
  ibrav = 0, nat = 4, ntyp = 3
/
ATOMIC_SPECIES
Pr 140.91 Pr.upf
Be 9.01 Be.upf
Ag 107.87 Ag.upf
CELL_PARAMETERS angstrom
3.6546 0.0000 0.0000
0.0000 3.6546 0.0000
0.0000 0.0000 7.4157
ATOMIC_POSITIONS crystal
Pr 0.0000 0.0000 0.2278
Pr 0.0000 0.0000 0.7722
Be 0.5000 0.5000 0.0000
Ag 0.5000 0.5000 0.5000
```


Entry 6:
Density functional theory data (PBE) for a geometry-optimized Pr2BeAg structure. Values from VASP.

Summary:
Calculated formation energy = 0.034 eV per atom
Total moment = 0.01 μB/cell
Excess energy over the best structure of this formula in the dataset = 56 meV/atom
SG = Fm-3m, No. 225

The structure in Quantum ESPRESSO input format:
```
&SYSTEM
  ibrav = 0, nat = 4, ntyp = 3
/
ATOMIC_SPECIES
Pr 140.91 Pr.upf
Be 9.01 Be.upf
Ag 107.87 Ag.upf
CELL_PARAMETERS angstrom
0.0000 3.6993 3.6993
3.6993 0.0000 3.6993
3.6993 3.6993 0.0000
ATOMIC_POSITIONS crystal
Pr 0.2500 0.2500 0.2500
Pr 0.7500 0.7500 0.7500
Be 0.0000 0.0000 0.0000
Ag 0.5000 0.5000 0.5000
```


Entry 7:
Density functional theory data (PBE) for a geometry-optimized Be2AgPt structure. Values from VASP.

Summary:
Calculated formation energy = -0.148 eV per atom
Total moment = 0.00 μB/cell
Excess energy over the best structure of this formula in the dataset = 161 meV/atom
SG = I-4m2, No. 119

The structure in Quantum ESPRESSO input format:
```
&SYSTEM
  ibrav = 0, nat = 4, ntyp = 3
/
ATOMIC_SPECIES
Be 9.01 Be.upf
Ag 107.87 Ag.upf
Pt 195.08 Pt.upf
CELL_PARAMETERS angstrom
-1.7151 1.7151 4.2818
1.7151 -1.7151 4.2818
1.7151 1.7151 -4.2818
ATOMIC_POSITIONS crystal
Be 0.0000 0.0000 0.0000
Be 0.7500 0.2500 0.5000
Ag 0.5000 0.5000 0.0000
Pt 0.2500 0.7500 0.5000
```


Entry 8:
Density functional theory data (PBE) for a geometry-optimized BeAgPt structure. Values from VASP.

Summary:
Calculated formation energy = -0.343 eV per atom
Total moment = 0.00 μB/cell
Excess energy over the best structure of this formula in the dataset = 0 meV/atom
SG = I4mm, No. 107

The structure in Quantum ESPRESSO input format:
```
&SYSTEM
  ibrav = 0, nat = 3, ntyp = 3
/
ATOMIC_SPECIES
Be 9.01 Be.upf
Ag 107.87 Ag.upf
Pt 195.08 Pt.upf
CELL_PARAMETERS angstrom
-1.4359 1.4359 5.0375
1.4359 -1.4359 5.0375
1.4359 1.4359 -5.0375
ATOMIC_POSITIONS crystal
Be 0.0000 0.0000 0.0000
Ag 0.3262 0.3262 0.0000
Pt 0.6127 0.6127 0.0000
```